# PBE InCu2SiH, relaxed
# N(E_F), states/eV per cell: 1.470
# VASP energy, eV/atom: -3.5145
data_InCu2SiH
_chemical_formula_sum 'In1 Cu2 Si1 H1'
_space_group_name_H-M_alt 'P 4/m m m'
_space_group_IT_number 123
_space_group_name_Hall '-P 4 2'
_cell_length_a 3.8182
_cell_length_b 3.8182
_cell_length_c 4.8057
_cell_angle_alpha 90.00
_cell_angle_beta 90.00
_cell_angle_gamma 90.00
loop_
_atom_site_label
_atom_site_type_symbol
_atom_site_fract_x
_atom_site_fract_y
_atom_site_fract_z
In1 In 0.0000 0.0000 0.0000
Cu1 Cu 0.0000 0.5000 0.5000
Si1 Si 0.5000 0.5000 0.0000
H1 H 0.0000 0.0000 0.5000